A geometry-optimized TbDy6Ho3 structure. Source: Alexandria via LeMat-Bulk, functional PBE.

POSCAR file:
```
TbDy6Ho3
1.0
4.7876 -10.4193 0.0000
4.7876 10.4193 0.0000
0.0000 0.0000 6.3286
Tb Dy Ho
2 12 6
direct
0.1612 0.8388 0.5000
0.8388 0.1612 0.0000
0.0153 0.9847 0.3052
0.1050 0.5429 0.8151
0.2589 0.3787 0.0561
0.3013 0.6987 0.2757
0.3787 0.2589 0.5561
0.4571 0.8950 0.8151
0.5429 0.1050 0.3151
0.6213 0.7411 0.0561
0.6987 0.3013 0.7757
0.7411 0.6213 0.5561
0.8950 0.4571 0.3151
0.9847 0.0153 0.8052
0.0422 0.2957 0.4746
0.2957 0.0422 0.9746
0.4194 0.5806 0.5805
0.5806 0.4194 0.0805
0.7043 0.9578 0.4746
0.9578 0.7043 0.9746
```

Values from the calculation:
VASP energy in eV per formula unit: -44.73
E above lowest polymorph in eV per atom: 0.0000
Formation energy from the elements in eV/atom: 0.12
Symmetry: No. 36
DOS(E_F) in states/eV/f.u.: 15.4

***

A geometry-optimized TbDy4Ho2 structure. Source: Alexandria via LeMat-Bulk, functional PBE.

POSCAR file:
```
TbDy4Ho2
1.0
16.6160 0.0000 0.0000
0.0000 3.5061 0.0000
-4.2807 0.0000 7.5481
Tb Dy Ho
2 8 4
direct
0.0000 0.0000 0.0000
0.5000 0.5000 0.0000
0.1410 0.5000 0.8351
0.2044 0.5000 0.2936
0.2956 0.0000 0.7064
0.3590 0.0000 0.1649
0.6410 0.0000 0.8351
0.7044 0.0000 0.2936
0.7956 0.5000 0.7064
0.8590 0.5000 0.1649
0.0703 0.0000 0.4297
0.4297 0.5000 0.5703
0.5703 0.5000 0.4297
0.9297 0.0000 0.5703
```

Values from the calculation:
VASP energy in eV per formula unit: -31.93
E above lowest polymorph in eV per atom: 0.0000
Formation energy from the elements in eV/atom: 0.04
Symmetry: No. 12
DOS(E_F) in states/eV/f.u.: 10.9

***

A geometry-optimized Tb2Dy3Ho4 structure. Source: Alexandria via LeMat-Bulk, functional PBE.

POSCAR file:
```
Tb2Dy3Ho4
1.0
8.0613 -5.7448 0.0000
8.0613 5.7448 0.0000
-0.6305 0.0000 6.0458
Tb Dy Ho
4 6 8
direct
0.0212 0.7363 0.6790
0.2637 0.9788 0.8210
0.7363 0.0212 0.1790
0.9788 0.2637 0.3210
0.0964 0.9036 0.2500
0.2371 0.4306 0.4118
0.4306 0.2371 0.9118
0.5694 0.7629 0.0882
0.7629 0.5694 0.5882
0.9036 0.0964 0.7500
0.0732 0.3542 0.8477
0.3125 0.5955 0.9858
0.3542 0.0732 0.3477
0.4045 0.6875 0.5142
0.5955 0.3125 0.4858
0.6458 0.9268 0.6523
0.6875 0.4045 0.0142
0.9268 0.6458 0.1523
```

Values from the calculation:
VASP energy in eV per formula unit: -40.48
E above lowest polymorph in eV per atom: 0.0831
Formation energy from the elements in eV/atom: 0.10
Symmetry: No. 15
DOS(E_F) in states/eV/f.u.: 13.1

***

A geometry-optimized Tb12Dy5Ho2 structure. Source: Alexandria via LeMat-Bulk, functional PBE.

POSCAR file:
```
Tb12Dy5Ho2
1.0
6.7376 0.0000 0.0000
-1.7731 8.5955 0.0000
-0.1863 -3.5723 10.4953
Tb Dy Ho
12 5 2
direct
0.0154 0.1173 0.4065
0.0778 0.6676 0.7871
0.1428 0.7407 0.2844
0.3671 0.3475 0.7005
0.3980 0.0951 0.8729
0.4071 0.2557 0.2330
0.5929 0.7443 0.7670
0.6020 0.9049 0.1271
0.6329 0.6525 0.2995
0.8572 0.2593 0.7156
0.9222 0.3324 0.2129
0.9846 0.8827 0.5935
0.2465 0.4800 0.0116
0.2646 0.5535 0.4929
0.5000 0.0000 0.5000
0.7354 0.4465 0.5071
0.7535 0.5200 0.9884
0.1031 0.9118 0.0770
0.8969 0.0882 0.9230
```

Values from the calculation:
VASP energy in eV per formula unit: -85.60
E above lowest polymorph in eV per atom: 0.0000
Formation energy from the elements in eV/atom: 0.11
Symmetry: No. 2
DOS(E_F) in states/eV/f.u.: 29.8

***

A geometry-optimized TbDy14Ho structure. Source: Alexandria via LeMat-Bulk, functional PBE.

POSCAR file:
```
TbDy14Ho
1.0
11.4159 0.0000 0.0000
0.0000 3.5498 6.1470
0.0000 -3.5498 6.1470
Tb Dy Ho
1 14 1
direct
0.0000 0.0000 0.0000
0.0000 0.0001 0.4998
0.0000 0.4998 0.0001
0.2503 0.1667 0.1667
0.2500 0.1669 0.6665
0.2500 0.6665 0.1669
0.2498 0.6666 0.6666
0.5000 0.3335 0.3335
0.5000 0.3335 0.8334
0.5000 0.8334 0.3335
0.5000 0.8334 0.8334
0.7497 0.1667 0.1667
0.7500 0.1669 0.6665
0.7500 0.6665 0.1669
0.7502 0.6666 0.6666
0.0000 0.4999 0.4999
```

Values from the calculation:
VASP energy in eV per formula unit: -73.62
Formation energy from the elements in eV/atom: 0.00
Symmetry: No. 38
DOS(E_F) in states/eV/f.u.: 18.4

***

A geometry-optimized TbDy4Ho10 structure. Source: Alexandria via LeMat-Bulk, functional PBE.

POSCAR file:
```
TbDy4Ho10
1.0
-6.0321 6.0321 3.8114
6.0321 -6.0321 3.8114
6.0321 6.0321 -3.8114
Tb Dy Ho
1 4 10
direct
0.0000 0.0000 0.0000
0.2002 0.3997 0.5999
0.3997 0.7998 0.1995
0.6003 0.2002 0.8005
0.7998 0.6003 0.4001
0.0499 0.3499 0.8994
0.1505 0.0499 0.7000
0.2500 0.7500 0.5000
0.3499 0.4505 0.3000
0.4505 0.1505 0.1006
0.5495 0.8495 0.8994
0.6501 0.5495 0.7000
0.7500 0.2500 0.5000
0.8495 0.9501 0.3000
0.9501 0.6501 0.1006
```

Values from the calculation:
VASP energy in eV per formula unit: -57.82
Formation energy from the elements in eV/atom: 0.73
Symmetry: No. 87
DOS(E_F) in states/eV/f.u.: 15.9

***

A geometry-optimized Tb8DyHo2 structure. Source: Alexandria via LeMat-Bulk, functional PBE.

POSCAR file:
```
Tb8DyHo2
1.0
6.1314 0.0000 0.0000
1.0339 6.0508 0.0000
1.0316 -0.1668 9.3315
Tb Dy Ho
8 1 2
direct
0.0456 0.4087 0.3182
0.1361 0.2272 0.9547
0.2275 0.0455 0.5909
0.4094 0.6817 0.8636
0.5906 0.3183 0.1364
0.7725 0.9545 0.4091
0.8639 0.7728 0.0453
0.9544 0.5913 0.6818
0.5000 0.5000 0.5000
0.3180 0.8635 0.2275
0.6820 0.1365 0.7725
```

Values from the calculation:
VASP energy in eV per formula unit: -50.62
E above lowest polymorph in eV per atom: 0.0000
Formation energy from the elements in eV/atom: 0.02
Symmetry: No. 2
DOS(E_F) in states/eV/f.u.: 15.8

***

A geometry-optimized Tb5Dy4Ho structure. Source: Alexandria via LeMat-Bulk, functional PBE.

POSCAR file:
```
Tb5Dy4Ho
1.0
-5.0860 5.0860 3.1114
5.0860 -5.0860 3.1114
5.0860 5.0860 -3.1114
Tb Dy Ho
5 4 1
direct
0.0000 0.0000 0.0000
0.5015 0.5803 0.6219
0.5803 0.9584 0.0787
0.8797 0.5015 0.9213
0.9584 0.8797 0.3781
0.1877 0.5750 0.3005
0.2745 0.8873 0.6995
0.5750 0.2745 0.3873
0.8873 0.1877 0.6127
0.4606 0.4606 0.0000
```

Values from the calculation:
VASP energy in eV per formula unit: -43.11
E above lowest polymorph in eV per atom: 0.2432
Formation energy from the elements in eV/atom: 0.30
Symmetry: No. 79
DOS(E_F) in states/eV/f.u.: 14.8